First-principles (GGA-PBEsol) data for crystalline LaNbPdN2 at its relaxed geometry, as listed in the Alexandria database.

total magnetization = 2.35 Bohr magnetons per cell
energy = -30.7 eV per cell
ΔE_f (raw) = 1689 meV/atom
density of states at the Fermi level = 4.76 states/eV/f.u.
V = 22.828 Å³/atom

Cell lengths 4.0115, 4.0115, 7.0928 Å; angles 90.00, 90.00, 90.00 degrees
Sites, in units of the cell vectors:
La: 0.0000 0.0000 0.0000
Nb: 0.0000 0.0000 0.5000
Pd: 0.5000 0.5000 0.5000
N: 0.0000 0.5000 0.0000
N: 0.5000 0.0000 0.0000

First-principles (GGA-PBEsol) data for crystalline TcIrRh2 at its relaxed geometry, as listed in the Alexandria database.

total magnetization = 0.00 Bohr magnetons per cell
energy of formation = -0.08 eV per atom
energy = -37.7 eV per cell
density of states at the Fermi level = 3.63 states/eV/f.u.
V = 13.667 Å³/atom

Cell lengths 2.6687, 3.8239, 5.3572 Å; angles 90.00, 90.00, 90.00 degrees
Sites, in units of the cell vectors:
Tc: 0.0000 0.0000 0.0000
Ir: 0.0000 0.0000 0.5000
Rh: 0.5000 0.5000 0.2468
Rh: 0.5000 0.5000 0.7532

First-principles (GGA-PBEsol) data for crystalline Sr2FeS at its relaxed geometry, as listed in the Alexandria database.

total magnetization = 2.06 Bohr magnetons per cell
energy = -17.7 eV per cell
ΔE_f (raw) = -170 meV/atom
density of states at the Fermi level = 7.42 states/eV/f.u.
V = 24.166 Å³/atom

Cell lengths 5.1514, 5.1514, 5.1514 Å; angles 60.00, 60.00, 60.00 degrees
Sites, in units of the cell vectors:
Sr: 0.2500 0.2500 0.2500
Sr: 0.7500 0.7500 0.7500
Fe: 0.0000 0.0000 0.0000
S: 0.5000 0.5000 0.5000

First-principles (GGA-PBEsol) data for crystalline Fe3CuS at its relaxed geometry, as listed in the Alexandria database.

total magnetization = 9.21 Bohr magnetons per cell
energy = -29.3 eV per cell
ΔE_f (raw) = 1263 meV/atom
density of states at the Fermi level = 5.93 states/eV/f.u.
V = 15.967 Å³/atom

Cell lengths 4.3059, 4.3059, 4.3059 Å; angles 90.00, 90.00, 90.00 degrees
Sites, in units of the cell vectors:
Fe: 0.0000 0.0000 0.5000
Fe: 0.0000 0.5000 0.0000
Fe: 0.5000 0.0000 0.0000
Cu: 0.0000 0.0000 0.0000
S: 0.5000 0.5000 0.5000